{
  "formula": "ZnSb",
  "functional": "PBE-GGA",
  "state": "relaxed",
  "final_energy_ev_per_atom": -2.52,
  "cell": [[5.541, 0.000, 0.000], [0.000, 11.920, 0.000], [0.000, 0.000, 5.355]],
  "species": ["Zn", "Zn", "Zn", "Zn", "Zn", "Zn", "Zn", "Zn", "Sb", "Sb", "Sb", "Sb", "Sb", "Sb", "Sb", "Sb"],
  "fractional_positions": [[0.881, 0.121, 0.500], [0.505, 0.265, 0.500], [0.829, 0.765, 0.000], [0.881, 0.629, 0.500], [0.452, 0.129, 0.000], [0.829, 0.985, 0.000], [0.505, 0.485, 0.500], [0.452, 0.621, 0.000], [0.359, 0.037, 0.500], [0.840, 0.875, 0.500], [0.974, 0.213, 0.000], [0.359, 0.713, 0.500], [0.493, 0.375, 0.000], [0.008, 0.375, 0.500], [0.974, 0.537, 0.000], [0.326, 0.875, 0.000]]
}